[1]
# K2ScTc | the Alexandria database | meta-GGA SCAN | PBEsol geometry
# Distance to the lowest polymorph of the same formula: 0.0 meV per atom
data_K2ScTc
_chemical_formula_sum 'K4 Sc2 Tc2'
_symmetry_space_group_name_H-M 'I m m 2'
_symmetry_Int_Tables_number 44
_cell_length_a 3.1136
_cell_length_b 6.4766
_cell_length_c 12.7394
_cell_angle_alpha 90.00
_cell_angle_beta 90.00
_cell_angle_gamma 90.00
loop_
_symmetry_equiv_pos_as_xyz
'x,y,z'
'-x,-y,z'
'-x,y,z'
'x,-y,z'
'x+1/2,y+1/2,z+1/2'
'-x+1/2,-y+1/2,z+1/2'
'-x+1/2,y+1/2,z+1/2'
'x+1/2,-y+1/2,z+1/2'
loop_
_atom_site_label
_atom_site_type_symbol
_atom_site_fract_x
_atom_site_fract_y
_atom_site_fract_z
_atom_site_occupancy
K1 K 0.0000 0.0000 0.0000 1
K2 K 0.0000 0.5000 0.1986 1
Sc1 Sc 0.0000 0.0000 0.3768 1
Tc1 Tc 0.0000 0.5000 0.7345 1


[2]
# K2ScTe | the Alexandria database | meta-GGA SCAN | PBEsol geometry
# E_form (uncorrected): -2 kJ/mol of atoms
data_K2ScTe
_chemical_formula_sum 'K2 Sc1 Te1'
_symmetry_space_group_name_H-M 'P 4/m m m'
_symmetry_Int_Tables_number 123
_symmetry_space_group_name_Hall '-P 4 2'
_cell_length_a 3.4875
_cell_length_b 3.4875
_cell_length_c 11.6042
_cell_angle_alpha 90.00
_cell_angle_beta 90.00
_cell_angle_gamma 90.00
loop_
_atom_site_label
_atom_site_type_symbol
_atom_site_fract_x
_atom_site_fract_y
_atom_site_fract_z
_atom_site_occupancy
K1 K 0.0000 0.0000 0.2098 1
Sc1 Sc 0.5000 0.5000 0.5000 1
Te1 Te 0.5000 0.5000 0.0000 1


[3]
# K2ScTe | the Alexandria database | meta-GGA SCAN | PBEsol geometry
# E_form (uncorrected): -41 kJ/mol of atoms
data_K2ScTe
_chemical_formula_sum 'K6 Sc3 Te3'
_symmetry_space_group_name_H-M 'R 3 m'
_symmetry_Int_Tables_number 160
_symmetry_space_group_name_Hall 'R 3 -2"'
_cell_length_a 4.1591
_cell_length_b 4.1591
_cell_length_c 34.2211
_cell_angle_alpha 90.00
_cell_angle_beta 90.00
_cell_angle_gamma 120.00
loop_
_atom_site_label
_atom_site_type_symbol
_atom_site_fract_x
_atom_site_fract_y
_atom_site_fract_z
_atom_site_occupancy
K1 K 0.0000 0.0000 0.0000 1
K2 K 0.0000 0.0000 0.2129 1
Sc1 Sc 0.0000 0.0000 0.7638 1
Te1 Te 0.0000 0.0000 0.4749 1


[4]
# K4ScTe | the Alexandria database | meta-GGA SCAN | PBEsol geometry
# E_form (uncorrected): 33 kJ/mol of atoms
data_K4ScTe
_chemical_formula_sum 'K16 Sc4 Te4'
_symmetry_space_group_name_H-M 'F -4 3 m'
_symmetry_Int_Tables_number 216
_symmetry_space_group_name_Hall 'F -4 2 3'
_cell_length_a 10.0193
_cell_length_b 10.0193
_cell_length_c 10.0193
_cell_angle_alpha 90.00
_cell_angle_beta 90.00
_cell_angle_gamma 90.00
loop_
_atom_site_label
_atom_site_type_symbol
_atom_site_fract_x
_atom_site_fract_y
_atom_site_fract_z
_atom_site_occupancy
K1 K 0.1227 0.1227 0.3773 1
Sc1 Sc 0.0000 0.0000 0.0000 1
Te1 Te 0.2500 0.2500 0.7500 1


[5]
# K2ScTe | the Alexandria database | meta-GGA SCAN | PBEsol geometry
# E_form (uncorrected): 6 kJ/mol of atoms
data_K2ScTe
_chemical_formula_sum 'K6 Sc3 Te3'
_symmetry_space_group_name_H-M 'R -3 m'
_symmetry_Int_Tables_number 166
_symmetry_space_group_name_Hall '-R 3 2"'
_cell_length_a 3.6387
_cell_length_b 3.6387
_cell_length_c 36.6190
_cell_angle_alpha 90.00
_cell_angle_beta 90.00
_cell_angle_gamma 120.00
loop_
_atom_site_label
_atom_site_type_symbol
_atom_site_fract_x
_atom_site_fract_y
_atom_site_fract_z
_atom_site_occupancy
K1 K 0.0000 0.0000 0.2396 1
Sc1 Sc 0.0000 0.0000 0.0000 1
Te1 Te 0.0000 0.0000 0.5000 1


[6]
# K2Sc2Te | the Alexandria database | meta-GGA SCAN | PBEsol geometry
# E_form (uncorrected): 7 kJ/mol of atoms
data_K2Sc2Te
_chemical_formula_sum 'K4 Sc4 Te2'
_symmetry_space_group_name_H-M 'I 4/m m m'
_symmetry_Int_Tables_number 139
_symmetry_space_group_name_Hall '-I 4 2'
_cell_length_a 4.1182
_cell_length_b 4.1182
_cell_length_c 22.5212
_cell_angle_alpha 90.00
_cell_angle_beta 90.00
_cell_angle_gamma 90.00
loop_
_atom_site_label
_atom_site_type_symbol
_atom_site_fract_x
_atom_site_fract_y
_atom_site_fract_z
_atom_site_occupancy
K1 K 0.0000 0.0000 0.0836 1
Sc1 Sc 0.0000 0.5000 0.2500 1
Te1 Te 0.0000 0.0000 0.5000 1


[7]
KScTi2 | meta-GGA SCAN | PBEsol geometry

Geometry as CIF:
```
data_KScTi2
_chemical_formula_sum 'K4 Sc4 Ti8'
_symmetry_space_group_name_H-M 'F m -3 m'
_symmetry_Int_Tables_number 225
_symmetry_space_group_name_Hall '-F 4 2 3'
_cell_length_a 7.2561
_cell_length_b 7.2561
_cell_length_c 7.2561
_cell_angle_alpha 90.00
_cell_angle_beta 90.00
_cell_angle_gamma 90.00
loop_
_atom_site_label
_atom_site_type_symbol
_atom_site_fract_x
_atom_site_fract_y
_atom_site_fract_z
_atom_site_occupancy
K1 K 0.0000 0.0000 0.0000 1
Sc1 Sc 0.0000 0.0000 0.5000 1
Ti1 Ti 0.2500 0.2500 0.2500 1
```


[8]
K2ScTl | meta-GGA SCAN | PBEsol geometry

Geometry as CIF:
```
data_K2ScTl
_chemical_formula_sum 'K6 Sc3 Tl3'
_symmetry_space_group_name_H-M 'R -3 m'
_symmetry_Int_Tables_number 166
_symmetry_space_group_name_Hall '-R 3 2"'
_cell_length_a 3.5401
_cell_length_b 3.5401
_cell_length_c 38.5821
_cell_angle_alpha 90.00
_cell_angle_beta 90.00
_cell_angle_gamma 120.00
loop_
_atom_site_label
_atom_site_type_symbol
_atom_site_fract_x
_atom_site_fract_y
_atom_site_fract_z
_atom_site_occupancy
K1 K 0.0000 0.0000 0.2461 1
Sc1 Sc 0.0000 0.0000 0.0000 1
Tl1 Tl 0.0000 0.0000 0.5000 1
```


[9]
# KScTl2 | the Alexandria database | meta-GGA SCAN | PBEsol geometry
# Distance to the lowest polymorph of the same formula: 281.7 meV per atom
data_KScTl2
_chemical_formula_sum 'K2 Sc2 Tl4'
_symmetry_space_group_name_H-M 'I m m 2'
_symmetry_Int_Tables_number 44
_cell_length_a 3.4291
_cell_length_b 5.5417
_cell_length_c 11.6130
_cell_angle_alpha 90.00
_cell_angle_beta 90.00
_cell_angle_gamma 90.00
loop_
_symmetry_equiv_pos_as_xyz
'x,y,z'
'-x,-y,z'
'-x,y,z'
'x,-y,z'
'x+1/2,y+1/2,z+1/2'
'-x+1/2,-y+1/2,z+1/2'
'-x+1/2,y+1/2,z+1/2'
'x+1/2,-y+1/2,z+1/2'
loop_
_atom_site_label
_atom_site_type_symbol
_atom_site_fract_x
_atom_site_fract_y
_atom_site_fract_z
_atom_site_occupancy
K1 K 0.0000 0.0000 0.0000 1
Sc1 Sc 0.0000 0.5000 0.7864 1
Tl1 Tl 0.0000 0.0000 0.5028 1
Tl2 Tl 0.0000 0.5000 0.2329 1


[10]
KSc4Tl | meta-GGA SCAN | PBEsol geometry

Geometry as CIF:
```
data_KSc4Tl
_chemical_formula_sum 'K4 Sc16 Tl4'
_symmetry_space_group_name_H-M 'F -4 3 m'
_symmetry_Int_Tables_number 216
_symmetry_space_group_name_Hall 'F -4 2 3'
_cell_length_a 8.6204
_cell_length_b 8.6204
_cell_length_c 8.6204
_cell_angle_alpha 90.00
_cell_angle_beta 90.00
_cell_angle_gamma 90.00
loop_
_atom_site_label
_atom_site_type_symbol
_atom_site_fract_x
_atom_site_fract_y
_atom_site_fract_z
_atom_site_occupancy
K1 K 0.0000 0.0000 0.0000 1
Sc1 Sc 0.1228 0.1228 0.3772 1
Tl1 Tl 0.2500 0.2500 0.7500 1
```


[11]
KSc3Tl | meta-GGA SCAN | PBEsol geometry

Geometry as CIF:
```
data_KSc3Tl
_chemical_formula_sum 'K1 Sc3 Tl1'
_symmetry_space_group_name_H-M 'P m -3 m'
_symmetry_Int_Tables_number 221
_symmetry_space_group_name_Hall '-P 4 2 3'
_cell_length_a 4.8963
_cell_length_b 4.8963
_cell_length_c 4.8963
_cell_angle_alpha 90.00
_cell_angle_beta 90.00
_cell_angle_gamma 90.00
loop_
_atom_site_label
_atom_site_type_symbol
_atom_site_fract_x
_atom_site_fract_y
_atom_site_fract_z
_atom_site_occupancy
K1 K 0.0000 0.0000 0.0000 1
Sc1 Sc 0.0000 0.0000 0.5000 1
Tl1 Tl 0.5000 0.5000 0.5000 1
```


[12]
# KScTl2 | the Alexandria database | meta-GGA SCAN | PBEsol geometry
# Distance to the lowest polymorph of the same formula: 0.0 meV per atom
data_KScTl2
_chemical_formula_sum 'K1 Sc1 Tl2'
_symmetry_space_group_name_H-M 'P 4/m m m'
_symmetry_Int_Tables_number 123
_symmetry_space_group_name_Hall '-P 4 2'
_cell_length_a 3.6265
_cell_length_b 3.6265
_cell_length_c 8.3891
_cell_angle_alpha 90.00
_cell_angle_beta 90.00
_cell_angle_gamma 90.00
loop_
_atom_site_label
_atom_site_type_symbol
_atom_site_fract_x
_atom_site_fract_y
_atom_site_fract_z
_atom_site_occupancy
K1 K 0.0000 0.0000 0.0000 1
Sc1 Sc 0.0000 0.0000 0.5000 1
Tl1 Tl 0.5000 0.5000 0.2999 1


| no. | total DFT energy (no corrections) (eV for the cell shown) |
| --- | --- |
| 1 | -124.917 |
| 2 | -68.235 |
| 3 | -209.475 |
| 4 | -331.119 |
| 5 | -203.648 |
| 6 | -164.085 |
| 7 | -200.324 |
| 8 | -305.540 |
| 9 | -334.874 |
| 10 | -540.653 |
| 11 | -117.142 |
| 12 | -168.564 |